Here is a relaxed AlFeSCl crystal from Alexandria. Energies are from PBE.

a b c (Å): 6.972 3.052 7.893
angles (deg): 90.00 104.01 90.00
Space group Cm (No. 8)
Unique sites:
Al  0.000  0.000  0.000
Fe  0.155  0.500  0.802
S  0.334  0.000  0.730
Cl  0.023  0.500  0.225

Summary:
Raw formation energy ... -49.0 kJ/mol of atoms
Offset from the most stable computed form ... 68 meV per atom